A geometry-optimized Tl2CoCu structure. Source: the Alexandria database, functional PBE.

- Size of the total moment: 0.86 μB/f.u.
- ρ: 11.46 Mg/m³
- Distance to the lowest polymorph of the same formula: 0.331 eV per atom
- Calculated formation energy: 739.4 meV per atom
- Space group: No. 216

abc: 4.775 4.775 4.775
angles: 60.00 60.00 60.00
Element x y z (fractional)
Tl1 0.750 0.750 0.750
Tl2 0.000 0.000 0.000
Co1 0.500 0.500 0.500
Cu1 0.250 0.250 0.250

A geometry-optimized TmPaTlO6 structure. Source: the Alexandria database, functional PBE.

- Raw formation energy: -2.4188 eV per atom
- Size of the total moment: 0.78 μB/f.u.
- ρ: 8.66 Mg/m³
- Space group: No. 149

abc: 4.856 5.652 5.652
angles: 120.00 90.00 90.00
Element x y z (fractional)
O1 0.253 0.656 0.983
O2 0.253 0.327 0.344
O3 0.253 0.017 0.673
O4 0.747 0.327 0.983
O5 0.747 0.656 0.673
O6 0.747 0.017 0.344
Tl1 0.500 0.667 0.333
Pa1 0.000 0.333 0.667
Tm1 0.500 0.000 0.000

A geometry-optimized LaMgRe structure. Source: the Alexandria database, functional PBE.

- Size of the total moment: 0.08 μB/f.u.
- ρ: 8.87 Mg/m³
- Distance to the lowest polymorph of the same formula: 0.031 eV per atom
- Calculated formation energy: 512.7 meV per atom
- Space group: No. 156

abc: 5.095 5.095 2.911
angles: 90.00 90.00 120.00
Element x y z (fractional)
La1 0.000 0.000 0.000
Re1 0.333 0.667 0.504
Mg1 0.667 0.333 0.496